No. 1
DFT (GGA-PBEsol) results for Ni3As2 after structural relaxation.

Unit cell a=9.0940 b=9.0940 c=9.0940 alpha=18.17 beta=18.17 gamma=18.17
Last column: nearest neighbours and their distance in Å.
Positions (direct):
Ni (0.0000, 0.0000, 0.0000)  6 As 2.47
Ni (0.2012, 0.2012, 0.2012)  3 As 2.38, 3 Ni 2.49
Ni (0.7988, 0.7988, 0.7988)  3 As 2.38, 3 Ni 2.49
As (0.4018, 0.4018, 0.4018)  6 Ni 2.38-2.47
As (0.5982, 0.5982, 0.5982)  6 Ni 2.38-2.47

Summary:
Its formation energy is 5 meV per atom.

No. 2
DFT (GGA-PBEsol) results for MgAgF5 after structural relaxation.

Unit cell a=5.3739 b=5.3739 c=8.4298 alpha=114.55 beta=114.55 gamma=68.93
Last column: nearest neighbours and their distance in Å.
Positions (direct):
Mg (0.0058, 0.9942, 0.7500)  5 F 1.89-2.00
Mg (0.9942, 0.0058, 0.2500)  5 F 1.89-2.00
Ag (0.5000, 0.5000, 0.0000)  4 F 1.91-1.99
Ag (0.5000, 0.5000, 0.5000)  4 F 1.91-1.99
F (0.1514, 0.7634, 0.0506)  1 Mg 1.95, 1 Ag 1.99
F (0.2108, 0.2991, 0.3394)  1 Ag 1.91, 1 Mg 2.00
F (0.2366, 0.8486, 0.4494)  1 Mg 1.95, 1 Ag 1.99
F (0.2991, 0.2108, 0.8394)  1 Ag 1.91, 1 Mg 2.00
F (0.3170, 0.6830, 0.7500)  1 Mg 1.89
F (0.6830, 0.3170, 0.2500)  1 Mg 1.89
F (0.7009, 0.7892, 0.1606)  1 Ag 1.91, 1 Mg 2.00
F (0.7634, 0.1514, 0.5506)  1 Mg 1.95, 1 Ag 1.99
F (0.7892, 0.7009, 0.6606)  1 Ag 1.91, 1 Mg 2.00
F (0.8486, 0.2366, 0.9494)  1 Mg 1.95, 1 Ag 1.99

Summary:
Its formation energy from raw total energies is -1999 meV/atom.

No. 3
DFT (GGA-PBEsol) results for BRuSe2 after structural relaxation.

Unit cell a=6.5893 b=6.5893 c=6.5893 alpha=32.90 beta=32.90 gamma=32.90
Last column: nearest neighbours and their distance in Å.
Positions (direct):
B (0.0000, 0.0000, 0.0000)  2 Se 1.88
Ru (0.5000, 0.5000, 0.5000)  6 Se 2.48
Se (0.1004, 0.1004, 0.1004)  1 B 1.88
Se (0.8996, 0.8996, 0.8996)  1 B 1.88

Summary:
Its formation energy from raw total energies is 543 meV/atom.

No. 4
DFT (GGA-PBEsol) results for ScAs2Os after structural relaxation.

Unit cell a=3.0786 b=3.0786 c=6.7743 alpha=90.00 beta=90.00 gamma=97.01
Last column: nearest neighbours and their distance in Å.
Positions (direct):
Sc (0.0000, 0.0000, 0.0000)  8 As 2.74-2.94
As (0.5000, 0.5000, 0.2703)  4 Os 2.57-2.78, 2 Sc 2.74
As (0.5000, 0.5000, 0.7297)  4 Os 2.57-2.78, 2 Sc 2.74
Os (0.0000, 0.0000, 0.5000)  8 As 2.57-2.78

Summary:
As for the energy relative to the lowest polymorph listed for this composition: 0.83 eV per formula unit. Its formation energy is -240 meV per atom.

No. 5
DFT (GGA-PBEsol) results for K2PtO6 after structural relaxation.

Unit cell a=4.8486 b=4.8486 c=4.8486 alpha=83.13 beta=83.13 gamma=83.13
Last column: nearest neighbours and their distance in Å.
Positions (direct):
K (0.1510, 0.1510, 0.1510)  9 O 2.63-2.87, 1 K 2.82
K (0.8490, 0.8490, 0.8490)  9 O 2.63-2.87, 1 K 2.82
Pt (0.5000, 0.5000, 0.5000)  6 O 2.04
O (0.0942, 0.5968, 0.4203)  1 O 1.47
O (0.4032, 0.5797, 0.9058)  1 O 1.47
O (0.4203, 0.0942, 0.5968)  1 O 1.47
O (0.5797, 0.9058, 0.4032)  1 O 1.47
O (0.5968, 0.4203, 0.0942)  1 O 1.47
O (0.9058, 0.4032, 0.5797)  1 O 1.47

Summary:
Its formation energy from raw total energies is -667 meV/atom.

No. 6
DFT (GGA-PBEsol) results for MgSc2O after structural relaxation.

Unit cell a=6.0064 b=6.0064 c=6.0064 alpha=114.90 beta=114.90 gamma=99.09
Last column: nearest neighbours and their distance in Å.
Positions (direct):
Mg (0.0000, 0.0000, 0.0000)  8 Sc 3.13-3.42
Mg (0.7500, 0.2500, 0.5000)  8 Sc 3.13-3.42
Sc (0.2612, 0.6250, 0.1362)  2 O 2.03
Sc (0.3750, 0.5112, 0.6362)  2 O 2.03
Sc (0.4888, 0.1250, 0.8638)  2 O 2.03
Sc (0.8750, 0.7388, 0.3638)  2 O 2.03
O (0.2500, 0.7500, 0.5000)  4 Sc 2.03
O (0.5000, 0.5000, 0.0000)  4 Sc 2.03

Summary:
Its formation energy from raw total energies is -1317 meV/atom.

No. 7
DFT (GGA-PBEsol) results for K4AsH5S3O16 after structural relaxation.

Unit cell a=8.8899 b=10.0827 c=10.7285 alpha=72.33 beta=66.55 gamma=65.19
Last column: nearest neighbours and their distance in Å.
Positions (direct):
K (0.2175, 0.0425, 0.0030)  6 O 2.69-2.99
K (0.2361, 0.5740, 0.0974)  1 H 2.71, 8 O 2.73-2.91
K (0.2463, 0.9240, 0.3991)  8 O 2.71-2.97, 1 H 2.77
K (0.2687, 0.4757, 0.5101)  6 O 2.67-2.87
K (0.7313, 0.5243, 0.4899)  6 O 2.67-2.87
K (0.7537, 0.0760, 0.6009)  8 O 2.71-2.97, 1 H 2.77
K (0.7639, 0.4260, 0.9026)  1 H 2.71, 8 O 2.73-2.91
K (0.7825, 0.9575, 0.9970)  6 O 2.69-2.99
As (0.4715, 0.8163, 0.7196)  4 O 1.67-1.73
As (0.5285, 0.1837, 0.2804)  4 O 1.67-1.73
H (0.1835, 0.4100, 0.8498)  1 O 1.03
H (0.2130, 0.7739, 0.8646)  1 O 1.04
H (0.2546, 0.2601, 0.2544)  1 O 1.05
H (0.3238, 0.7367, 0.6309)  1 O 1.05
H (0.3298, 0.1075, 0.6470)  1 O 1.07
H (0.6702, 0.8925, 0.3530)  1 O 1.07
H (0.6762, 0.2633, 0.3691)  1 O 1.05
H (0.7454, 0.7399, 0.7456)  1 O 1.05
H (0.7870, 0.2261, 0.1354)  1 O 1.04
H (0.8165, 0.5900, 0.1502)  1 O 1.03
S (0.0330, 0.6956, 0.7728)  4 O 1.48-1.49
S (0.0448, 0.1831, 0.6851)  4 O 1.46-1.57
S (0.4658, 0.3226, 0.8155)  4 O 1.46-1.59
S (0.5342, 0.6774, 0.1845)  4 O 1.46-1.59
S (0.9552, 0.8169, 0.3149)  4 O 1.46-1.57
S (0.9670, 0.3044, 0.2272)  4 O 1.48-1.49
O (0.0100, 0.1417, 0.8353)  1 S 1.47
O (0.0345, 0.5415, 0.8029)  1 S 1.48, 1 H 1.55
O (0.0537, 0.0666, 0.6246)  1 S 1.47
O (0.0694, 0.7259, 0.8833)  1 H 1.47, 1 S 1.49
O (0.0747, 0.6703, 0.3532)  1 S 1.46
O (0.1418, 0.1994, 0.2351)  1 H 1.48, 1 S 1.49
O (0.1688, 0.7164, 0.6383)  1 H 1.44, 1 S 1.49
O (0.2282, 0.2034, 0.6203)  1 H 1.07
O (0.2746, 0.3144, 0.8807)  1 H 1.03
O (0.3102, 0.7982, 0.8751)  1 H 1.04
O (0.3306, 0.3099, 0.2645)  1 H 1.05
O (0.4265, 0.8283, 0.1428)  1 S 1.46
O (0.4420, 0.7562, 0.5994)  1 H 1.05
O (0.4673, 0.4346, 0.8751)  1 S 1.46
O (0.4746, 0.9887, 0.6806)  1 H 1.43
O (0.4986, 0.6373, 0.3346)  1 S 1.47
O (0.5014, 0.3627, 0.6654)  1 S 1.47
O (0.5254, 0.0113, 0.3194)  1 H 1.43
O (0.5327, 0.5654, 0.1249)  1 S 1.46
O (0.5580, 0.2438, 0.4006)  1 H 1.05
O (0.5735, 0.1717, 0.8572)  1 S 1.46
O (0.6694, 0.6901, 0.7355)  1 H 1.05
O (0.6898, 0.2018, 0.1249)  1 H 1.04
O (0.7254, 0.6856, 0.1193)  1 H 1.03
O (0.7718, 0.7966, 0.3797)  1 H 1.07
O (0.8312, 0.2836, 0.3617)  1 H 1.44, 1 S 1.49
O (0.8582, 0.8006, 0.7649)  1 H 1.48, 1 S 1.49
O (0.9253, 0.3297, 0.6468)  1 S 1.46
O (0.9306, 0.2741, 0.1167)  1 H 1.47, 1 S 1.49
O (0.9463, 0.9334, 0.3754)  1 S 1.47
O (0.9655, 0.4585, 0.1971)  1 S 1.48, 1 H 1.55
O (0.9900, 0.8583, 0.1647)  1 S 1.47

Summary:
The calculation puts the electronic total energy at -5.7973 eV/atom.

No. 8
DFT (GGA-PBEsol) results for CoSbAu2 after structural relaxation.

Unit cell a=4.5593 b=4.5593 c=4.5593 alpha=60.00 beta=60.00 gamma=60.00
Last column: nearest neighbours and their distance in Å.
Positions (direct):
Co (0.0000, 0.0000, 0.0000)  4 Sb 2.79, 4 Au 2.79
Sb (0.7500, 0.7500, 0.7500)  4 Au 2.79, 4 Co 2.79
Au (0.2500, 0.2500, 0.2500)  4 Au 2.79, 4 Co 2.79
Au (0.5000, 0.5000, 0.5000)  4 Sb 2.79, 4 Au 2.79

Summary:
Its formation energy from raw total energies is 253 meV/atom.

No. 9
DFT (GGA-PBEsol) results for YZn2HPt after structural relaxation.

Unit cell a=4.7383 b=4.7383 c=5.2199 alpha=90.00 beta=90.00 gamma=90.00
Last column: nearest neighbours and their distance in Å.
Positions (direct):
Y (0.0000, 0.0000, 0.0000)  2 Pt 2.61
Zn (0.0000, 0.5000, 0.5000)  2 Pt 2.37
Zn (0.5000, 0.0000, 0.5000)  2 Pt 2.37
H (0.5000, 0.5000, 0.0000)  4 Y 3.35, 8 Zn 3.52
Pt (0.0000, 0.0000, 0.5000)  4 Zn 2.37, 2 Y 2.61

Summary:
The calculation puts the electronic total energy at -3.9104 eV/atom.

No. 10
DFT (GGA-PBEsol) results for MgSc2Cu after structural relaxation.

Unit cell a=9.2496 b=9.2496 c=9.2496 alpha=20.28 beta=20.28 gamma=20.28
Last column: nearest neighbours and their distance in Å.
Positions (direct):
Mg (0.0000, 0.0000, 0.0000)  6 Sc 3.22, 6 Mg 3.26
Sc (0.2369, 0.2369, 0.2369)  3 Cu 2.68
Sc (0.7631, 0.7631, 0.7631)  3 Cu 2.68
Cu (0.5000, 0.5000, 0.5000)  6 Sc 2.68

Summary:
Its formation energy is 53 meV per atom.

No. 11
DFT (GGA-PBEsol) results for MgZnPt2 after structural relaxation.

Unit cell a=4.5355 b=4.5355 c=2.8904 alpha=90.00 beta=90.00 gamma=101.27
Last column: nearest neighbours and their distance in Å.
Positions (direct):
Mg (0.0000, 0.0000, 0.0000)  8 Pt 2.69, 2 Zn 2.88, 2 Mg 2.89
Zn (0.5000, 0.5000, 0.0000)  8 Pt 2.69, 2 Mg 2.88, 2 Zn 2.89
Pt (0.0000, 0.5000, 0.5000)  4 Zn 2.69, 4 Mg 2.69, 4 Pt 2.88-2.89
Pt (0.5000, 0.0000, 0.5000)  4 Zn 2.69, 4 Mg 2.69, 4 Pt 2.88-2.89

Summary:
Its formation energy is -692 meV per atom.

No. 12
DFT (GGA-PBEsol) results for LiNi2Cl after structural relaxation.

Unit cell a=3.0714 b=3.0714 c=5.0901 alpha=90.00 beta=90.00 gamma=90.00
Last column: nearest neighbours and their distance in Å.
Positions (direct):
Li (0.0000, 0.0000, 0.0000)  8 Ni 2.49, 2 Cl 2.55
Ni (0.5000, 0.5000, 0.2399)  2 Ni 2.44-2.65, 4 Li 2.49, 4 Cl 2.54
Ni (0.5000, 0.5000, 0.7601)  2 Ni 2.44-2.65, 4 Li 2.49, 4 Cl 2.54
Cl (0.0000, 0.0000, 0.5000)  8 Ni 2.54, 2 Li 2.55

Summary:
Its formation energy from raw total energies is 227 meV/atom. As for the energy relative to the lowest polymorph listed for this composition: 0.84 eV per formula unit.